The following is a DFT calculation (PBE) of a geometry-optimized FeCu2Se structure. Values from VASP.

```
&SYSTEM
  ibrav = 0, nat = 8, ntyp = 3
/
ATOMIC_SPECIES
Cu 63.55 Cu.upf
Se 78.96 Se.upf
Fe 55.84 Fe.upf
CELL_PARAMETERS angstrom
-3.2501 6.1667 0.7981
-5.5430 -3.2814 2.7813
-3.4316 1.6679 3.9787
ATOMIC_POSITIONS angstrom
Cu -3.6233 3.9392 1.8513
Cu -4.6874 -0.9412 2.8227
Cu -5.8009 2.3745 4.2910
Cu -10.3380 3.7340 6.1513
Se 0.0000 0.0000 0.0000
Se -5.5392 4.6387 3.2833
Fe -4.3966 1.4427 1.7897
Fe -6.6856 -0.0854 4.2749
```

Summary:
For the uncorrected formation energy, the calculation gives 343 meV per atom. The space-group type is I-42d, No. 122. For the electronic total energy, the calculation gives -37.5 eV/cell. Its magnetic moment is 2.47 μB/f.u.



The following is a DFT calculation (PBE) of a geometry-optimized PrNd9Cd2 structure. Values from VASP.

```
&SYSTEM
  ibrav = 0, nat = 12, ntyp = 3
/
ATOMIC_SPECIES
Pr 140.91 Pr.upf
Nd 144.24 Nd.upf
Cd 112.41 Cd.upf
CELL_PARAMETERS angstrom
-0.5136 -2.8106 4.1594
4.8897 -1.2265 -0.2250
3.4481 12.1608 8.6432
ATOMIC_POSITIONS angstrom
Pr 0.0000 0.0000 0.0000
Nd 2.1881 -2.0186 1.9672
Nd 3.3540 2.0935 4.8898
Nd 4.4702 6.0302 7.6878
Nd 0.3455 0.7187 3.5893
Nd 1.4673 4.6751 6.4013
Nd 2.5891 8.6315 9.2133
Nd 3.0471 1.5108 1.3971
Nd 4.1689 5.4672 4.2091
Nd 5.2907 9.4236 7.0211
Cd 1.1729 4.1367 2.9401
Cd 2.2752 8.0241 5.7031
```

Summary:
Its formation energy is -0.0590 eV per atom. The space-group type is P4/mmm, No. 123. For the electronic total energy, the calculation gives -50.2 eV/cell. Its magnetic moment is 0.00 μB/f.u.



The following is a DFT calculation (PBE) of a geometry-optimized ScPaGa2 structure. Values from VASP.

```
&SYSTEM
  ibrav = 0, nat = 4, ntyp = 3
/
ATOMIC_SPECIES
Sc 44.96 Sc.upf
Pa 231.04 Pa.upf
Ga 69.72 Ga.upf
CELL_PARAMETERS angstrom
4.1214 0.0000 0.0000
0.0000 4.5115 0.0000
0.0000 0.0000 4.5115
ATOMIC_POSITIONS angstrom
Sc 2.0607 0.0000 0.0000
Pa 2.0607 2.2557 2.2557
Ga 0.0000 0.0000 2.2557
Ga 0.0000 2.2557 0.0000
```

Summary:
Its formation energy is -0.3007 eV per atom. The space-group type is P4/mmm, No. 123. For the electronic total energy, the calculation gives -23.1 eV/cell. Its magnetic moment is 0.00 μB/f.u. The calculation puts the polymorph energy (0 for the lowest one) at 124.7 meV/atom.



The following is a DFT calculation (PBE) of a geometry-optimized Zn5W3 structure. Values from VASP.

```
&SYSTEM
  ibrav = 0, nat = 8, ntyp = 2
/
ATOMIC_SPECIES
Zn 65.41 Zn.upf
W 183.84 W.upf
CELL_PARAMETERS angstrom
3.9803 -4.1604 0.0000
3.9803 4.1604 0.0000
0.0000 0.0000 3.5979
ATOMIC_POSITIONS angstrom
Zn 0.0000 0.0000 0.0000
Zn 1.9902 2.0802 0.0000
Zn 1.9902 -2.0802 0.0000
Zn 3.9803 -2.1179 1.7990
Zn 3.9803 2.1179 1.7990
W 3.9803 0.0000 0.0000
W 1.9990 0.0000 1.7990
W 5.9617 0.0000 1.7990
```

Summary:
Its formation energy is 0.2414 eV per atom. The space-group type is Cmmm, No. 65. For the electronic total energy, the calculation gives -43.3 eV/cell. Its magnetic moment is 0.00 μB/f.u. The calculation puts the polymorph energy (0 for the lowest one) at 0.0 meV/atom.



The following is a DFT calculation (PBE) of a geometry-optimized LaY2ZnSi structure. Values from VASP.

```
&SYSTEM
  ibrav = 0, nat = 5, ntyp = 4
/
ATOMIC_SPECIES
Y 88.91 Y.upf
Zn 65.41 Zn.upf
Si 28.09 Si.upf
La 138.91 La.upf
CELL_PARAMETERS angstrom
-1.1682 3.3286 -4.2561
-4.0241 -2.3023 -0.6960
-2.5842 3.4798 3.4309
ATOMIC_POSITIONS angstrom
Y -1.2921 1.7399 1.7154
Y -0.5841 1.6643 -2.1280
Zn -2.0121 -1.1511 -0.3480
Si 0.0000 0.0000 0.0000
La -3.8883 2.2531 -0.7606
```

Summary:
For the uncorrected formation energy, the calculation gives 22 meV per atom. The space-group type is P4/mmm, No. 123. For the electronic total energy, the calculation gives -24.4 eV/cell. Its magnetic moment is 0.00 μB/f.u.



The following is a DFT calculation (PBE) of a geometry-optimized BaCaRe2 structure. Values from VASP.

```
&SYSTEM
  ibrav = 0, nat = 4, ntyp = 3
/
ATOMIC_SPECIES
Re 186.21 Re.upf
Ca 40.08 Ca.upf
Ba 137.33 Ba.upf
CELL_PARAMETERS angstrom
-5.2503 -0.9682 -0.4492
-0.0031 -1.6754 3.6467
-0.7995 3.5739 1.6412
ATOMIC_POSITIONS angstrom
Re 0.0000 0.0000 0.0000
Re -0.4013 0.9493 2.6440
Ca -3.0249 1.3029 0.5960
Ba -2.6267 -1.3218 1.5988
```

Summary:
Its formation energy is 1.3099 eV per atom. The space-group type is P4/mmm, No. 123. For the electronic total energy, the calculation gives -23.6 eV/cell. Its magnetic moment is 0.00 μB/f.u. The calculation puts the polymorph energy (0 for the lowest one) at 958.5 meV/atom.



The following is a DFT calculation (PBE) of a geometry-optimized SrZrAs structure. Values from VASP.

```
&SYSTEM
  ibrav = 0, nat = 6, ntyp = 3
/
ATOMIC_SPECIES
Sr 87.62 Sr.upf
As 74.92 As.upf
Zr 91.22 Zr.upf
CELL_PARAMETERS angstrom
-0.0423 3.1296 2.9487
-4.2971 0.0747 -0.1409
-0.3058 -5.8645 6.2199
ATOMIC_POSITIONS angstrom
Sr -2.4062 -4.9023 5.1685
Sr -0.0694 0.6399 2.4553
As -2.2313 -1.5484 1.6114
As -0.2443 -2.7140 6.0124
Zr -2.3226 -1.3301 4.5138
Zr -0.1529 -2.9323 3.1100
```

Summary:
Its formation energy is -0.8543 eV per atom. The space-group type is P4/nmm, No. 129. For the electronic total energy, the calculation gives -34.9 eV/cell. Its magnetic moment is 0.00 μB/f.u.



The following is a DFT calculation (PBE) of a geometry-optimized Sc4CdCuAu2 structure. Values from VASP.

```
&SYSTEM
  ibrav = 0, nat = 8, ntyp = 4
/
ATOMIC_SPECIES
Sc 44.96 Sc.upf
Cd 112.41 Cd.upf
Cu 63.55 Cu.upf
Au 196.97 Au.upf
CELL_PARAMETERS angstrom
4.8233 0.0000 0.0000
2.4116 4.1771 0.0000
2.4116 1.3924 7.8430
ATOMIC_POSITIONS angstrom
Sc 4.8233 2.7847 6.7118
Sc 7.2349 4.1771 3.0691
Sc 2.4116 1.3924 4.7739
Sc 4.8233 2.7847 1.1313
Cd 0.0000 0.0000 0.0000
Cu 4.8233 2.7847 3.9215
Au 7.2349 4.1771 5.9796
Au 2.4116 1.3924 1.8634
```

Summary:
Its formation energy is -0.5377 eV per atom. The space-group type is R-3m, No. 166. For the electronic total energy, the calculation gives -41.2 eV/cell. Its magnetic moment is 0.00 μB/f.u.



The following is a DFT calculation (PBE) of a geometry-optimized Na2TeAu2 structure. Values from VASP.

```
&SYSTEM
  ibrav = 0, nat = 5, ntyp = 3
/
ATOMIC_SPECIES
Na 22.99 Na.upf
Te 127.60 Te.upf
Au 196.97 Au.upf
CELL_PARAMETERS angstrom
-3.1912 2.4111 -1.6372
1.6284 -0.5383 -3.9669
-4.4603 -4.4608 -3.5798
ATOMIC_POSITIONS angstrom
Na -4.2164 -0.5566 -4.0096
Na -1.8066 -2.0314 -5.1744
Te 0.0000 0.0000 0.0000
Au -1.5304 -0.1624 -2.9604
Au -4.4927 -2.4256 -6.2235
```

Summary:
For the uncorrected formation energy, the calculation gives -13 meV per atom. The space-group type is I4/mmm, No. 139. For the electronic total energy, the calculation gives -12.4 eV/cell. Its magnetic moment is 0.00 μB/f.u. The calculation puts the polymorph energy (0 for the lowest one) at 378.8 meV/atom.



The following is a DFT calculation (PBE) of a geometry-optimized CuHgRh2 structure. Values from VASP.

```
&SYSTEM
  ibrav = 0, nat = 4, ntyp = 3
/
ATOMIC_SPECIES
Cu 63.55 Cu.upf
Hg 200.59 Hg.upf
Rh 102.91 Rh.upf
CELL_PARAMETERS angstrom
4.8280 -0.0215 0.0000
1.5875 4.5597 0.0000
-3.2078 -2.2691 2.8057
ATOMIC_POSITIONS angstrom
Cu 0.7937 2.2798 1.4029
Hg 2.4140 -0.0107 1.4029
Rh 0.0000 0.0000 0.0000
Rh 3.2078 2.2691 0.0000
```

Summary:
Its formation energy is 0.2317 eV per atom. The space-group type is I4/mmm, No. 139. For the electronic total energy, the calculation gives -18.2 eV/cell. Its magnetic moment is 0.99 μB/f.u.



The following is a DFT calculation (PBE) of a geometry-optimized LiMn2Cu structure. Values from VASP.

```
&SYSTEM
  ibrav = 0, nat = 4, ntyp = 3
/
ATOMIC_SPECIES
Cu 63.55 Cu.upf
Li 6.94 Li.upf
Mn 54.94 Mn.upf
CELL_PARAMETERS angstrom
9.0424 -0.0121 -0.0071
8.6625 2.5934 -0.0071
8.6625 1.2629 2.2651
ATOMIC_POSITIONS angstrom
Cu 6.5918 0.9611 0.5627
Li 19.7755 2.8832 1.6882
Mn 26.2758 3.8309 2.2431
Mn 13.2752 1.9354 1.1333
```

Summary:
Its formation energy is 0.3323 eV per atom. The space-group type is R-3m, No. 166. For the electronic total energy, the calculation gives -23.0 eV/cell. Its magnetic moment is 6.30 μB/f.u.



The following is a DFT calculation (PBE) of a geometry-optimized CaTaIr3 structure. Values from VASP.

```
&SYSTEM
  ibrav = 0, nat = 5, ntyp = 3
/
ATOMIC_SPECIES
Ca 40.08 Ca.upf
Ir 192.22 Ir.upf
Ta 180.95 Ta.upf
CELL_PARAMETERS angstrom
4.8333 0.0000 0.0000
0.0000 4.8333 0.0000
0.0000 0.0000 4.8333
ATOMIC_POSITIONS angstrom
Ca 2.4166 2.4166 2.4166
Ir 0.0000 2.4166 0.0000
Ir 0.0000 0.0000 2.4166
Ir 2.4166 0.0000 0.0000
Ta 0.0000 0.0000 0.0000
```

Summary:
Its formation energy is 0.6041 eV per atom. The space-group type is Pm-3m, No. 221. For the electronic total energy, the calculation gives -37.4 eV/cell. Its magnetic moment is 0.00 μB/f.u. The calculation puts the polymorph energy (0 for the lowest one) at 0.0 meV/atom.